P:
# NiTePt2, optimized geometry, DFT PBE-GGA
data_NiTePt2
_cell_length_a 3.4747
_cell_length_b 3.4747
_cell_length_c 5.5064
_cell_angle_alpha 90.00
_cell_angle_beta 90.00
_cell_angle_gamma 90.00
_symmetry_space_group_name_H-M 'P 4/m m m'
_symmetry_Int_Tables_number 123
_symmetry_space_group_name_Hall '-P 4 2'
loop_
_atom_site_label
_atom_site_fract_x
_atom_site_fract_y
_atom_site_fract_z
_atom_site_occupancy
Ni1 0.0000 0.0000 0.0000 1
Te1 0.0000 0.0000 0.5000 1
Pt1 0.5000 0.5000 0.2371 1
# D(E_F)	3.35	states/eV per cell

Q:
# NiTePt2, optimized geometry, DFT PBE-GGA
data_NiTePt2
_cell_length_a 3.6793
_cell_length_b 3.9414
_cell_length_c 9.3909
_cell_angle_alpha 90.00
_cell_angle_beta 90.00
_cell_angle_gamma 90.00
_symmetry_space_group_name_H-M 'I m m 2'
_symmetry_Int_Tables_number 44
loop_
_symmetry_equiv_pos_as_xyz
'x,y,z'
'-x,-y,z'
'-x,y,z'
'x,-y,z'
'x+1/2,y+1/2,z+1/2'
'-x+1/2,-y+1/2,z+1/2'
'-x+1/2,y+1/2,z+1/2'
'x+1/2,-y+1/2,z+1/2'
loop_
_atom_site_label
_atom_site_fract_x
_atom_site_fract_y
_atom_site_fract_z
_atom_site_occupancy
Ni1 0.0000 0.0000 0.0000 1
Te1 0.0000 0.5000 0.3049 1
Pt1 0.0000 0.0000 0.4992 1
Pt2 0.0000 0.5000 0.7060 1
# D(E_F)	2.27	states/eV per cell

R:
# NiTePt2, optimized geometry, DFT PBE-GGA
data_NiTePt2
_cell_length_a 3.4744
_cell_length_b 3.4744
_cell_length_c 5.4915
_cell_angle_alpha 90.00
_cell_angle_beta 90.00
_cell_angle_gamma 90.00
_symmetry_space_group_name_H-M 'P 4 m m'
_symmetry_Int_Tables_number 99
loop_
_symmetry_equiv_pos_as_xyz
'x,y,z'
'-y,x,z'
'-x,-y,z'
'y,-x,z'
'-x,y,z'
'y,x,z'
'x,-y,z'
'-y,-x,z'
loop_
_atom_site_label
_atom_site_fract_x
_atom_site_fract_y
_atom_site_fract_z
_atom_site_occupancy
Ni1 0.0000 0.0000 0.0000 1
Te1 0.5000 0.5000 0.7442 1
Pt1 0.0000 0.0000 0.4849 1
Pt2 0.5000 0.5000 0.2201 1
# D(E_F)	2.71	states/eV per cell

Which is most stable? The ranking, best first, is Q, P, R.

P:
# NiTePt2, optimized geometry, DFT PBE-GGA
data_NiTePt2
_cell_length_a 8.8266
_cell_length_b 3.5469
_cell_length_c 4.3748
_cell_angle_alpha 90.00
_cell_angle_beta 104.47
_cell_angle_gamma 90.00
_symmetry_space_group_name_H-M 'C 1 2/m 1'
_symmetry_Int_Tables_number 12
loop_
_symmetry_equiv_pos_as_xyz
'x,y,z'
'-x,-y,-z'
'-x,y,-z'
'x,-y,z'
'x+1/2,y+1/2,z'
'-x+1/2,-y+1/2,-z'
'-x+1/2,y+1/2,-z'
'x+1/2,-y+1/2,z'
loop_
_atom_site_label
_atom_site_fract_x
_atom_site_fract_y
_atom_site_fract_z
_atom_site_occupancy
Ni1 0.0000 0.0000 0.0000 1
Te1 0.0000 0.5000 0.5000 1
Pt1 0.2484 0.5000 0.2389 1
# D(E_F)	5.86	states/eV per cell

Q:
# NiTePt2, optimized geometry, DFT PBE-GGA
data_NiTePt2
_cell_length_a 7.7560
_cell_length_b 3.7069
_cell_length_c 5.0499
_cell_angle_alpha 90.00
_cell_angle_beta 109.64
_cell_angle_gamma 90.00
_symmetry_space_group_name_H-M 'C 1 m 1'
_symmetry_Int_Tables_number 8
loop_
_symmetry_equiv_pos_as_xyz
'x,y,z'
'x,-y,z'
'x+1/2,y+1/2,z'
'x+1/2,-y+1/2,z'
loop_
_atom_site_label
_atom_site_fract_x
_atom_site_fract_y
_atom_site_fract_z
_atom_site_occupancy
Ni1 0.0000 0.0000 0.0000 1
Te1 0.2538 0.0000 0.7780 1
Pt1 0.2418 0.5000 0.2055 1
Pt2 0.4990 0.0000 0.4892 1
# D(E_F)	4.87	states/eV per cell

Which is most stable? The ranking, best first, is P, Q.

P:
# NiTe4Pt, optimized geometry, DFT PBE-GGA
data_NiTe4Pt
_cell_length_a 8.6302
_cell_length_b 8.6302
_cell_length_c 8.6302
_cell_angle_alpha 90.00
_cell_angle_beta 90.00
_cell_angle_gamma 90.00
_symmetry_space_group_name_H-M 'F -4 3 m'
_symmetry_Int_Tables_number 216
_symmetry_space_group_name_Hall 'F -4 2 3'
loop_
_atom_site_label
_atom_site_fract_x
_atom_site_fract_y
_atom_site_fract_z
_atom_site_occupancy
Ni1 0.0000 0.0000 0.0000 1
Te1 0.1244 0.1244 0.3756 1
Pt1 0.2500 0.2500 0.7500 1
# D(E_F)	52.20	states/eV per cell

Q:
# NiTe4Pt, optimized geometry, DFT PBE-GGA
data_NiTe4Pt
_cell_length_a 5.3391
_cell_length_b 3.9930
_cell_length_c 6.9256
_cell_angle_alpha 90.00
_cell_angle_beta 90.44
_cell_angle_gamma 90.00
_symmetry_space_group_name_H-M 'P 1 2/m 1'
_symmetry_Int_Tables_number 10
loop_
_symmetry_equiv_pos_as_xyz
'x,y,z'
'-x,-y,-z'
'-x,y,-z'
'x,-y,z'
loop_
_atom_site_label
_atom_site_fract_x
_atom_site_fract_y
_atom_site_fract_z
_atom_site_occupancy
Ni1 0.0000 0.0000 0.0000 1
Te1 0.2439 0.5000 0.8441 1
Te2 0.2566 0.0000 0.3249 1
Pt1 0.0000 0.5000 0.5000 1
# D(E_F)	2.56	states/eV per cell

Which is most stable? The ranking, best first, is Q, P.

P:
# ThNi2Pt4, optimized geometry, DFT PBE-GGA
data_ThNi2Pt4
_cell_length_a 5.2094
_cell_length_b 6.7197
_cell_length_c 6.7324
_cell_angle_alpha 90.00
_cell_angle_beta 90.00
_cell_angle_gamma 90.00
_symmetry_space_group_name_H-M 'I m m m'
_symmetry_Int_Tables_number 71
_symmetry_space_group_name_Hall '-I 2 2'
loop_
_atom_site_label
_atom_site_fract_x
_atom_site_fract_y
_atom_site_fract_z
_atom_site_occupancy
Th1 0.0000 0.0000 0.0000 1
Ni1 0.2500 0.0000 0.5000 1
Pt1 0.0000 0.2972 0.2975 1
# D(E_F)	19.42	states/eV per cell

Q:
# ThNi2Pt4, optimized geometry, DFT PBE-GGA
data_ThNi2Pt4
_cell_length_a 7.8922
_cell_length_b 7.8922
_cell_length_c 4.8360
_cell_angle_alpha 90.00
_cell_angle_beta 90.00
_cell_angle_gamma 90.00
_symmetry_space_group_name_H-M 'I 4/m m m'
_symmetry_Int_Tables_number 139
_symmetry_space_group_name_Hall '-I 4 2'
loop_
_atom_site_label
_atom_site_fract_x
_atom_site_fract_y
_atom_site_fract_z
_atom_site_occupancy
Th1 0.0000 0.0000 0.0000 1
Ni1 0.0000 0.5000 0.2500 1
Pt1 0.0000 0.2322 0.5000 1
# D(E_F)	19.77	states/eV per cell

Which is most stable? The ranking, best first, is P, Q.

P:
# ThNi4Pt, optimized geometry, DFT PBE-GGA
data_ThNi4Pt
_cell_length_a 7.0528
_cell_length_b 7.0528
_cell_length_c 7.0528
_cell_angle_alpha 90.00
_cell_angle_beta 90.00
_cell_angle_gamma 90.00
_symmetry_space_group_name_H-M 'F -4 3 m'
_symmetry_Int_Tables_number 216
_symmetry_space_group_name_Hall 'F -4 2 3'
loop_
_atom_site_label
_atom_site_fract_x
_atom_site_fract_y
_atom_site_fract_z
_atom_site_occupancy
Th1 0.0000 0.0000 0.0000 1
Ni1 0.1235 0.1235 0.3765 1
Pt1 0.2500 0.2500 0.7500 1
# D(E_F)	33.05	states/eV per cell

Q:
# ThNi4Pt, optimized geometry, DFT PBE-GGA
data_ThNi4Pt
_cell_length_a 3.8554
_cell_length_b 15.4379
_cell_length_c 6.1306
_cell_angle_alpha 90.00
_cell_angle_beta 90.00
_cell_angle_gamma 90.00
_symmetry_space_group_name_H-M 'C m c m'
_symmetry_Int_Tables_number 63
_symmetry_space_group_name_Hall '-C 2c 2'
loop_
_atom_site_label
_atom_site_fract_x
_atom_site_fract_y
_atom_site_fract_z
_atom_site_occupancy
Th1 0.0000 0.1103 0.2500 1
Ni1 0.0000 0.0702 0.7500 1
Ni2 0.0000 0.3441 0.0632 1
Ni3 0.0000 0.5000 0.0000 1
Pt1 0.0000 0.2383 0.7500 1
# D(E_F)	19.68	states/eV per cell

Which is most stable? The ranking, best first, is P, Q.

P:
# Th2Ni2Pt, optimized geometry, DFT PBE-GGA
data_Th2Ni2Pt
_cell_length_a 4.1166
_cell_length_b 6.2120
_cell_length_c 7.8458
_cell_angle_alpha 90.00
_cell_angle_beta 90.00
_cell_angle_gamma 90.00
_symmetry_space_group_name_H-M 'I m m m'
_symmetry_Int_Tables_number 71
_symmetry_space_group_name_Hall '-I 2 2'
loop_
_atom_site_label
_atom_site_fract_x
_atom_site_fract_y
_atom_site_fract_z
_atom_site_occupancy
Th1 0.0000 0.0000 0.2228 1
Ni1 0.0000 0.3035 0.5000 1
Pt1 0.0000 0.5000 0.0000 1
# D(E_F)	7.16	states/eV per cell

Q:
# Th2Ni2Pt, optimized geometry, DFT PBE-GGA
data_Th2Ni2Pt
_cell_length_a 7.2804
_cell_length_b 7.2804
_cell_length_c 7.5149
_cell_angle_alpha 90.00
_cell_angle_beta 90.00
_cell_angle_gamma 90.00
_symmetry_space_group_name_H-M 'P 4/m n c'
_symmetry_Int_Tables_number 128
_symmetry_space_group_name_Hall '-P 4 2n'
loop_
_atom_site_label
_atom_site_fract_x
_atom_site_fract_y
_atom_site_fract_z
_atom_site_occupancy
Th1 0.1804 0.3194 0.0000 1
Ni1 0.1221 0.6221 0.2500 1
Pt1 0.0000 0.0000 0.2504 1
# D(E_F)	11.57	states/eV per cell

Which is most stable? The ranking, best first, is Q, P.

P:
# TmThNiPt, optimized geometry, DFT PBE-GGA
data_TmThNiPt
_cell_length_a 4.2650
_cell_length_b 3.7526
_cell_length_c 10.9205
_cell_angle_alpha 90.00
_cell_angle_beta 90.00
_cell_angle_gamma 90.00
_symmetry_space_group_name_H-M 'A m m 2'
_symmetry_Int_Tables_number 38
loop_
_symmetry_equiv_pos_as_xyz
'x,y,z'
'-x,-y,z'
'-x,y,z'
'x,-y,z'
'x,y+1/2,z+1/2'
'-x,-y+1/2,z+1/2'
'-x,y+1/2,z+1/2'
'x,-y+1/2,z+1/2'
loop_
_atom_site_label
_atom_site_fract_x
_atom_site_fract_y
_atom_site_fract_z
_atom_site_occupancy
Tm1 0.0000 0.0000 0.0000 1
Th1 0.5000 0.0000 0.2769 1
Ni1 0.0000 0.0000 0.7338 1
Pt1 0.5000 0.0000 0.5559 1
# D(E_F)	6.18	states/eV per cell

Q:
# TmThNiPt, optimized geometry, DFT PBE-GGA
data_TmThNiPt
_cell_length_a 7.0083
_cell_length_b 7.0083
_cell_length_c 7.0083
_cell_angle_alpha 90.00
_cell_angle_beta 90.00
_cell_angle_gamma 90.00
_symmetry_space_group_name_H-M 'F -4 3 m'
_symmetry_Int_Tables_number 216
_symmetry_space_group_name_Hall 'F -4 2 3'
loop_
_atom_site_label
_atom_site_fract_x
_atom_site_fract_y
_atom_site_fract_z
_atom_site_occupancy
Tm1 0.0000 0.0000 0.0000 1
Th1 0.0000 0.0000 0.5000 1
Ni1 0.2500 0.2500 0.2500 1
Pt1 0.2500 0.2500 0.7500 1
# D(E_F)	11.72	states/eV per cell

Which is most stable? The ranking, best first, is P, Q.

P:
# Ti2Ni2Pt, optimized geometry, DFT PBE-GGA
data_Ti2Ni2Pt
_cell_length_a 4.4435
_cell_length_b 5.8190
_cell_length_c 5.7985
_cell_angle_alpha 90.00
_cell_angle_beta 90.00
_cell_angle_gamma 90.00
_symmetry_space_group_name_H-M 'C m m m'
_symmetry_Int_Tables_number 65
_symmetry_space_group_name_Hall '-C 2 2'
loop_
_atom_site_label
_atom_site_fract_x
_atom_site_fract_y
_atom_site_fract_z
_atom_site_occupancy
Ti1 0.0000 0.0000 0.2468 1
Ni1 0.0000 0.3111 0.5000 1
Pt1 0.0000 0.5000 0.0000 1
# D(E_F)	9.13	states/eV per cell

Q:
# Ti2Ni2Pt, optimized geometry, DFT PBE-GGA
data_Ti2Ni2Pt
_cell_length_a 7.0902
_cell_length_b 7.0902
_cell_length_c 2.8542
_cell_angle_alpha 90.00
_cell_angle_beta 90.00
_cell_angle_gamma 90.00
_symmetry_space_group_name_H-M 'P 4/m b m'
_symmetry_Int_Tables_number 127
_symmetry_space_group_name_Hall '-P 4 2ab'
loop_
_atom_site_label
_atom_site_fract_x
_atom_site_fract_y
_atom_site_fract_z
_atom_site_occupancy
Ti1 0.1607 0.3393 0.0000 1
Ni1 0.1301 0.6301 0.5000 1
Pt1 0.0000 0.0000 0.0000 1
# D(E_F)	7.01	states/eV per cell

Which is most stable? The ranking, best first, is Q, P.

P:
# TiNi3Pt4, optimized geometry, DFT PBE-GGA
data_TiNi3Pt4
_cell_length_a 2.7672
_cell_length_b 7.7015
_cell_length_c 10.8222
_cell_angle_alpha 90.00
_cell_angle_beta 90.00
_cell_angle_gamma 90.00
_symmetry_space_group_name_H-M 'I m m m'
_symmetry_Int_Tables_number 71
_symmetry_space_group_name_Hall '-I 2 2'
loop_
_atom_site_label
_atom_site_fract_x
_atom_site_fract_y
_atom_site_fract_z
_atom_site_occupancy
Ti1 0.0000 0.0000 0.0000 1
Ni1 0.0000 0.0000 0.5000 1
Ni2 0.0000 0.5000 0.3144 1
Pt1 0.0000 0.2826 0.1321 1
# D(E_F)	18.43	states/eV per cell

Q:
# TiNi3Pt4, optimized geometry, DFT PBE-GGA
data_TiNi3Pt4
_cell_length_a 3.8734
_cell_length_b 3.8734
_cell_length_c 14.7802
_cell_angle_alpha 90.00
_cell_angle_beta 90.00
_cell_angle_gamma 90.00
_symmetry_space_group_name_H-M 'I 4/m m m'
_symmetry_Int_Tables_number 139
_symmetry_space_group_name_Hall '-I 4 2'
loop_
_atom_site_label
_atom_site_fract_x
_atom_site_fract_y
_atom_site_fract_z
_atom_site_occupancy
Ti1 0.0000 0.0000 0.0000 1
Ni1 0.0000 0.0000 0.2526 1
Ni2 0.0000 0.0000 0.5000 1
Pt1 0.0000 0.5000 0.1254 1
# D(E_F)	19.93	states/eV per cell

Which is most stable? The ranking, best first, is Q, P.

P:
# TiNi2Pt2, optimized geometry, DFT PBE-GGA
data_TiNi2Pt2
_cell_length_a 7.0471
_cell_length_b 7.0471
_cell_length_c 2.8989
_cell_angle_alpha 90.00
_cell_angle_beta 90.00
_cell_angle_gamma 90.00
_symmetry_space_group_name_H-M 'P 4/m b m'
_symmetry_Int_Tables_number 127
_symmetry_space_group_name_Hall '-P 4 2ab'
loop_
_atom_site_label
_atom_site_fract_x
_atom_site_fract_y
_atom_site_fract_z
_atom_site_occupancy
Ti1 0.0000 0.0000 0.0000 1
Ni1 0.1587 0.3413 0.5000 1
Pt1 0.1400 0.6400 0.0000 1
# D(E_F)	9.92	states/eV per cell

Q:
# TiNi2Pt2, optimized geometry, DFT PBE-GGA
data_TiNi2Pt2
_cell_length_a 8.5108
_cell_length_b 3.7438
_cell_length_c 8.6270
_cell_angle_alpha 90.00
_cell_angle_beta 91.01
_cell_angle_gamma 90.00
_symmetry_space_group_name_H-M 'C 1 2/m 1'
_symmetry_Int_Tables_number 12
loop_
_symmetry_equiv_pos_as_xyz
'x,y,z'
'-x,-y,-z'
'-x,y,-z'
'x,-y,z'
'x+1/2,y+1/2,z'
'-x+1/2,-y+1/2,-z'
'-x+1/2,y+1/2,-z'
'x+1/2,-y+1/2,z'
loop_
_atom_site_label
_atom_site_fract_x
_atom_site_fract_y
_atom_site_fract_z
_atom_site_occupancy
Ti1 0.2498 0.0000 0.2477 1
Ni1 0.0526 0.5000 0.3446 1
Ni2 0.1493 0.5000 0.0467 1
Pt1 0.0499 0.0000 0.8557 1
Pt2 0.1479 0.0000 0.5545 1
# D(E_F)	30.09	states/eV per cell

R:
# TiNi2Pt2, optimized geometry, DFT PBE-GGA
data_TiNi2Pt2
_cell_length_a 3.3463
_cell_length_b 3.3463
_cell_length_c 13.1868
_cell_angle_alpha 90.00
_cell_angle_beta 90.00
_cell_angle_gamma 90.00
_symmetry_space_group_name_H-M 'I 4/m m m'
_symmetry_Int_Tables_number 139
_symmetry_space_group_name_Hall '-I 4 2'
loop_
_atom_site_label
_atom_site_fract_x
_atom_site_fract_y
_atom_site_fract_z
_atom_site_occupancy
Ti1 0.0000 0.0000 0.0000 1
Ni1 0.0000 0.5000 0.2500 1
Pt1 0.0000 0.0000 0.3987 1
# D(E_F)	8.25	states/eV per cell

S:
# TiNi2Pt2, optimized geometry, DFT PBE-GGA
data_TiNi2Pt2
_cell_length_a 4.2004
_cell_length_b 4.2004
_cell_length_c 9.9145
_cell_angle_alpha 90.00
_cell_angle_beta 90.00
_cell_angle_gamma 120.00
_symmetry_space_group_name_H-M 'P 63/m m c'
_symmetry_Int_Tables_number 194
_symmetry_space_group_name_Hall '-P 6c 2c'
loop_
_atom_site_label
_atom_site_fract_x
_atom_site_fract_y
_atom_site_fract_z
_atom_site_occupancy
Ti1 0.0000 0.0000 0.2500 1
Ni1 0.3333 0.6667 0.1109 1
Pt1 0.0000 0.0000 0.0000 1
Pt2 0.3333 0.6667 0.7500 1
# D(E_F)	7.37	states/eV per cell

Which is most stable? The ranking, best first, is Q, R, P, S.

P:
# TiNi3Pt, optimized geometry, DFT PBE-GGA
data_TiNi3Pt
_cell_length_a 8.2576
_cell_length_b 3.7083
_cell_length_c 5.8356
_cell_angle_alpha 90.00
_cell_angle_beta 134.57
_cell_angle_gamma 90.00
_symmetry_space_group_name_H-M 'C 1 m 1'
_symmetry_Int_Tables_number 8
loop_
_symmetry_equiv_pos_as_xyz
'x,y,z'
'x,-y,z'
'x+1/2,y+1/2,z'
'x+1/2,-y+1/2,z'
loop_
_atom_site_label
_atom_site_fract_x
_atom_site_fract_y
_atom_site_fract_z
_atom_site_occupancy
Ti1 0.0000 0.0000 0.0000 1
Ni1 0.1106 0.5000 0.7941 1
Ni2 0.2031 0.0000 0.6077 1
Ni3 0.4081 0.0000 0.2022 1
Pt1 0.3072 0.5000 0.3988 1
# D(E_F)	14.36	states/eV per cell

Q:
# TiNi3Pt, optimized geometry, DFT PBE-GGA
data_TiNi3Pt
_cell_length_a 4.5383
_cell_length_b 4.7842
_cell_length_c 6.4332
_cell_angle_alpha 90.00
_cell_angle_beta 109.72
_cell_angle_gamma 90.00
_symmetry_space_group_name_H-M 'P 1 21/m 1'
_symmetry_Int_Tables_number 11
loop_
_symmetry_equiv_pos_as_xyz
'x,y,z'
'-x,-y,-z'
'-x,y+1/2,-z'
'x,-y+1/2,z'
loop_
_atom_site_label
_atom_site_fract_x
_atom_site_fract_y
_atom_site_fract_z
_atom_site_occupancy
Ti1 0.0649 0.2500 0.3379 1
Ni1 0.3471 0.7500 0.4656 1
Ni2 0.4798 0.0011 0.8035 1
Pt1 0.0552 0.2500 0.9080 1
# D(E_F)	12.07	states/eV per cell

R:
# TiNi3Pt, optimized geometry, DFT PBE-GGA
data_TiNi3Pt
_cell_length_a 4.2199
_cell_length_b 4.2199
_cell_length_c 4.2199
_cell_angle_alpha 90.00
_cell_angle_beta 90.00
_cell_angle_gamma 90.00
_symmetry_space_group_name_H-M 'P m -3 m'
_symmetry_Int_Tables_number 221
_symmetry_space_group_name_Hall '-P 4 2 3'
loop_
_atom_site_label
_atom_site_fract_x
_atom_site_fract_y
_atom_site_fract_z
_atom_site_occupancy
Ti1 0.0000 0.0000 0.0000 1
Ni1 0.0000 0.0000 0.5000 1
Pt1 0.5000 0.5000 0.5000 1
# D(E_F)	2.43	states/eV per cell

Which is most stable? The ranking, best first, is P, Q, R.